DFT (PBE) results for a relaxed structure of PmCu2H6Rh.

abc: 4.6583 4.6090 6.2716
angles: 103.49 119.43 110.63
Fractional coordinates of all 10 atoms:
Pm: 0.0561 0.4908 0.5524
Cu: 0.4374 0.7033 0.2452
Cu: 0.7151 0.4876 0.0040
H: 0.6159 0.9780 0.5857
H: 0.3653 0.0121 0.1477
H: 0.8560 0.8075 0.2924
H: 0.0097 0.3250 0.1301
H: 0.6672 0.5509 0.7314
H: 0.2522 0.1269 0.7480
Rh: 0.9907 0.9956 0.8657

SG	P1 (1)
uncorrected energy	-4.275	eV per atom